(1)
{
  "formula": "Mg2Cd2Rh",
  "functional": "GGA-PBE",
  "state": "relaxed",
  "lattice": [[-1.621, 1.621, 8.937], [1.621, -1.621, 8.937], [1.621, 1.621, -8.937]],
  "species": ["Mg", "Mg", "Cd", "Cd", "Rh"],
  "frac_coords": [[0.081, 0.081, 0.000], [0.919, 0.919, 0.000], [0.307, 0.307, 0.000], [0.693, 0.693, 0.000], [0.500, 0.500, 0.000]],
  "delta_e_f_ev_per_atom": -0.2947,
  "relative_energy_mev_per_atom": 0.0,
  "dft_energy_ev_per_cell": -13.8
}

=====

(2)
{
  "formula": "Mg8CdRh2",
  "functional": "GGA-PBE",
  "state": "relaxed",
  "lattice": [[7.499, -2.304, 0.000], [7.499, 2.304, 0.000], [-2.912, 0.000, 6.154]],
  "species": ["Mg", "Mg", "Mg", "Mg", "Mg", "Mg", "Mg", "Mg", "Cd", "Rh", "Rh"],
  "frac_coords": [[0.000, 0.000, 0.000], [0.173, 0.173, 0.869], [0.319, 0.319, 0.329], [0.348, 0.348, 0.820], [0.511, 0.511, 0.277], [0.686, 0.686, 0.193], [0.717, 0.717, 0.641], [0.970, 0.970, 0.477], [0.528, 0.528, 0.750], [0.152, 0.152, 0.415], [0.834, 0.834, 0.068]],
  "delta_e_f_ev_per_atom": -0.2411,
  "relative_energy_mev_per_atom": 0.0,
  "dft_energy_ev_per_cell": -31.0
}